Ac3LaPr2 | Alexandria | PBE-GGA | relaxed; total magnetization = 0.0 μB/cell; space group = P2_1/m, No. 11; ΔH_f (0 K) = 0.02 eV per atom
1.0
3.875 0.000 0.000
0.000 10.840 1.213
0.000 -1.207 11.504
La Pr Ac
2 4 6
Cartesian
2.906 1.032 3.025
0.969 8.601 9.692
0.969 3.551 5.253
2.906 0.161 10.684
0.969 9.472 2.033
2.906 6.082 7.464
2.906 0.658 6.855
2.906 6.448 3.645
0.969 8.975 5.862
0.969 3.860 1.400
2.906 5.773 11.317
0.969 3.185 9.072

CsNa2V2S7 | Alexandria | PBE-GGA | relaxed; raw formation energy = -9.137 eV/f.u.; total magnetization = 1.2 μB/cell; space group = R32, No. 155
1.0
6.880 0.000 0.000
3.440 5.959 0.000
3.440 1.986 11.286
S V Cs Na
7 2 1 2
Cartesian
9.130 4.338 2.906
0.000 0.000 0.000
5.439 2.207 8.380
9.130 3.607 8.380
6.073 6.103 8.380
6.073 1.842 2.906
5.439 5.737 2.906
10.321 5.959 2.215
3.440 1.986 9.072
6.880 3.972 5.643
3.440 1.986 2.063
10.321 5.959 9.224

La2Pm3Ga3 | Alexandria | PBE-GGA | relaxed; total magnetization = 0.0 μB/cell; space group = Immm, No. 71; ΔH_f (0 K) = -0.40 eV per atom
1.0
3.759 0.000 0.000
0.000 5.227 0.000
-1.880 -2.614 11.323
Pm Ga La
3 3 2
Cartesian
1.880 2.614 2.554
0.000 0.000 8.769
1.880 0.000 0.000
1.880 2.614 8.731
0.000 2.614 0.000
0.000 0.000 2.592
1.880 0.000 5.130
0.000 2.614 6.193

TbPmIrPt | Alexandria | PBE-GGA | relaxed; total magnetization = 0.0 μB/cell; space group = F-43m, No. 216; ΔH_f (0 K) = -0.92 eV per atom
1.0
-4.126 -0.579 2.710
0.228 -2.258 4.423
-0.625 2.633 4.170
Ir Pt Pm Tb
1 1 1 1
Cartesian
-3.392 -0.153 8.477
-1.131 -0.051 2.826
0.000 0.000 0.000
-2.262 -0.102 5.651

Sr2TlAu6 | Alexandria | PBE-GGA | relaxed; total magnetization = 0.0 μB/cell; space group = P6/mmm, No. 191; ΔH_f (0 K) = -0.47 eV per atom
1.0
-3.249 1.734 1.357
-1.670 2.812 -7.591
-2.911 -7.348 2.419
Au Sr Tl
6 2 1
Cartesian
-4.268 1.220 -6.103
-2.183 1.807 -1.861
-3.562 -4.023 2.288
-5.647 -4.610 -1.954
-3.157 -0.651 -1.052
-4.673 -2.152 -2.763
-5.333 1.159 -2.897
-2.497 -3.961 -0.918
-2.911 -7.348 2.419

Li2SmGa6 | Alexandria | PBE-GGA | relaxed; total magnetization = 0.0 μB/cell; space group = P6/mmm, No. 191; ΔH_f (0 K) = -0.32 eV per atom
1.0
3.393 0.000 0.000
0.000 6.675 -3.854
0.000 0.000 7.707
Ga Li Sm
6 2 1
Cartesian
1.697 0.000 2.611
1.697 2.261 -1.305
1.697 4.414 2.548
1.697 2.261 1.305
1.697 4.414 5.159
1.697 0.000 5.097
3.393 4.450 0.000
0.000 2.225 3.854
0.000 0.000 7.707

Sr3Sb | Alexandria | PBE-GGA | relaxed; raw formation energy = -0.908 eV/f.u.; total magnetization = 0.0 μB/cell; space group = R-3m, No. 166
1.0
-3.882 -5.788 0.462
4.651 0.216 -5.206
1.952 2.924 6.035
Sb Sr
1 3
Cartesian
0.000 0.000 0.000
0.384 -2.786 -2.372
-0.965 -1.432 3.249
3.301 1.570 0.415

Tb2Cu2Pt | Alexandria | PBE-GGA | relaxed; total magnetization = 0.0 μB/cell; space group = P4/mbm, No. 127; ΔH_f (0 K) = -0.53 eV per atom
1.0
-2.116 -6.686 -1.255
5.616 -2.459 3.630
-4.139 0.096 6.468
Cu Tb Pt
8 8 4
Cartesian
3.103 -4.681 4.334
-3.742 -4.368 4.508
-1.224 -1.665 6.080
0.584 -7.384 2.763
1.034 -4.633 7.568
-1.673 -4.416 1.274
0.846 -1.713 2.846
-1.485 -7.336 5.997
1.070 -6.529 5.340
0.049 -6.238 0.124
0.360 -2.567 0.269
3.450 -2.907 2.251
1.380 -2.859 5.484
3.139 -6.577 2.106
-1.709 -2.520 3.503
-2.020 -6.190 3.358
-1.354 -4.500 6.037
-3.105 0.072 4.852
0.714 -4.548 2.805
-1.034 0.024 1.616

LaMnAg2 | Alexandria | PBE-GGA | relaxed; total magnetization = 6.2 μB/cell; space group = I-42d, No. 122; ΔH_f (0 K) = 0.36 eV per atom
1.0
4.325 0.000 0.000
0.000 4.325 0.000
2.162 2.162 10.119
Ag Mn La
4 2 2
Cartesian
5.406 5.170 7.589
3.008 1.081 2.530
3.244 3.480 7.589
1.317 3.244 2.530
2.162 2.162 0.000
2.162 4.325 5.060
4.325 2.162 5.060
0.000 0.000 0.000

Among the records above, which one has the highest total magnetization?
LaMnAg2

What did the second record say?
CsNa2V2S7 | Alexandria | PBE-GGA | relaxed; raw formation energy = -9.137 eV/f.u.; total magnetization = 1.2 μB/cell; space group = R32, No. 155
1.0
6.880 0.000 0.000
3.440 5.959 0.000
3.440 1.986 11.286
S V Cs Na
7 2 1 2
Cartesian
9.130 4.338 2.906
0.000 0.000 0.000
5.439 2.207 8.380
9.130 3.607 8.380
6.073 6.103 8.380
6.073 1.842 2.906
5.439 5.737 2.906
10.321 5.959 2.215
3.440 1.986 9.072
6.880 3.972 5.643
3.440 1.986 2.063
10.321 5.959 9.224

Please write out number 5 again, unchanged.
Sr2TlAu6 | Alexandria | PBE-GGA | relaxed; total magnetization = 0.0 μB/cell; space group = P6/mmm, No. 191; ΔH_f (0 K) = -0.47 eV per atom
1.0
-3.249 1.734 1.357
-1.670 2.812 -7.591
-2.911 -7.348 2.419
Au Sr Tl
6 2 1
Cartesian
-4.268 1.220 -6.103
-2.183 1.807 -1.861
-3.562 -4.023 2.288
-5.647 -4.610 -1.954
-3.157 -0.651 -1.052
-4.673 -2.152 -2.763
-5.333 1.159 -2.897
-2.497 -3.961 -0.918
-2.911 -7.348 2.419

Number 3 is which compound?
La2Pm3Ga3